Computed, not measured: crystalline AcScPaO6 at its relaxed geometry at the PBE level of DFT. Values from VASP.

Output
DOS at the Fermi energy   7.02 states/eV/f.u.
Uncorrected formation energy   -28.0 eV/f.u.
SG   P312 (149)
Raw total energy   -77.64 eV/cell

```
&SYSTEM
  ibrav = 0, nat = 9, ntyp = 4
/
ATOMIC_SPECIES
Ac 227.00 Ac.upf
Sc 44.96 Sc.upf
Pa 231.04 Pa.upf
O 16.00 O.upf
ATOMIC_POSITIONS crystal
Ac 0.000 0.000 0.000
Sc 0.333 0.667 0.000
Pa 0.667 0.333 0.500
O 0.001 0.376 0.244
O 0.001 0.625 0.756
O 0.375 0.376 0.756
O 0.375 0.999 0.244
O 0.624 0.625 0.244
O 0.624 0.999 0.756
CELL_PARAMETERS angstrom
5.822 0.000 0.000
-2.911 5.042 0.000
0.000 0.000 4.771
```